[1]
A plane-wave DFT calculation with PBE-GGA was carried out for crystalline CsBaBiTe3 at its relaxed geometry.

Lattice parameters (Å, degrees): 10.2746 10.2746 9.5718 99.55 99.55 34.06
Atoms (fractional coordinates):
1 Cs 0.1516 0.1516 0.0553
2 Cs 0.8484 0.8484 0.9447
3 Ba 0.1447 0.1447 0.5452
4 Ba 0.8553 0.8553 0.4548
5 Bi 0.4995 0.4995 0.3329
6 Bi 0.5005 0.5005 0.6671
7 Te 0.0004 0.0004 0.2567
8 Te 0.9996 0.9996 0.7433
9 Te 0.3302 0.3302 0.6321
10 Te 0.3407 0.3407 0.2575
11 Te 0.6593 0.6593 0.7425
12 Te 0.6698 0.6698 0.3679

Values from the calculation:
Its space group is C2/m, No. 12. For the final energy, the calculation gives -42.5 eV/cell. For the uncorrected formation energy, the calculation gives -0.859 eV/atom.

=====

[2]
A plane-wave DFT calculation with PBE-GGA was carried out for crystalline CsBa2Tl2Bi2 at its relaxed geometry.

Lattice parameters (Å, degrees): 11.4374 11.4374 11.4374 29.91 29.91 29.91
Atoms (fractional coordinates):
1 Cs 0.0000 0.0000 0.0000
2 Ba 0.1314 0.1314 0.1314
3 Ba 0.8686 0.8686 0.8686
4 Tl 0.4364 0.4364 0.4364
5 Tl 0.5636 0.5636 0.5636
6 Bi 0.2453 0.2453 0.2453
7 Bi 0.7547 0.7547 0.7547

Values from the calculation:
Its space group is R-3m, No. 166. For the final energy, the calculation gives -20.4 eV/cell.